# Er7Tm4In PBE optimized geometry
# formation energy from the elements: 0.035 eV/atom
# V: 30.81 Å³/atom
# energy above the lowest structure with this stoichiometry: 0 meV per atom
# crystal system: monoclinic
data_Er7Tm4In
_chemical_formula_sum 'Er14 Tm8 In2'
_space_group_name_H-M_alt 'C 1 2/m 1'
_space_group_IT_number 12
_cell_length_a 21.9886
_cell_length_b 5.4465
_cell_length_c 6.2755
_cell_angle_alpha 90.00
_cell_angle_beta 100.29
_cell_angle_gamma 90.00
loop_
_space_group_symop_operation_xyz
'x,y,z'
'-x,-y,-z'
'-x,y,-z'
'x,-y,z'
'x+1/2,y+1/2,z'
'-x+1/2,-y+1/2,-z'
'-x+1/2,y+1/2,-z'
'x+1/2,-y+1/2,z'
loop_
_atom_site_label
_atom_site_type_symbol
_atom_site_fract_x
_atom_site_fract_y
_atom_site_fract_z
Er1 Er 0.0000 0.0000 0.0000
Er2 Er 0.0479 0.5000 0.3096
Er3 Er 0.1364 0.0000 0.5080
Er4 Er 0.2099 0.0000 0.0671
Tm1 Tm 0.1171 0.5000 0.8491
Tm2 Tm 0.2089 0.5000 0.3943
In1 In 0.0000 0.0000 0.5000